# Tm2Pu3ScTe6 PBE optimized geometry
data_Tm2Pu3ScTe6
_space_group_name_H-M_alt 'C 1 2/m 1'
_space_group_IT_number 12
_space_group_name_Hall '-C 2y'
_cell_length_a 19.029
_cell_length_b 4.315
_cell_length_c 8.746
_cell_angle_alpha 90.00
_cell_angle_beta 104.48
_cell_angle_gamma 90.00
loop_
_atom_site_label
_atom_site_type_symbol
_atom_site_fract_x
_atom_site_fract_y
_atom_site_fract_z
Tm1 Tm 0.165 0.000 0.332
Pu1 Pu 0.000 0.500 0.500
Pu2 Pu 0.168 0.000 0.835
Sc1 Sc 0.000 0.500 0.000
Te1 Te 0.001 0.000 0.238
Te2 Te 0.161 0.500 0.087
Te3 Te 0.169 0.500 0.578
# Energy, eV/cell: -181.72
# Calculated volume, A^3/atom: 28.97
# Density of states at the Fermi level, states/eV per cell: 65.0
# E_form (uncorrected), eV/atom: -1.145